DFT (SCAN) results for a crystal of MgTlSb relaxed with PBEsol.

Symmetry = Imm2 (44)

The structure in extended XYZ format:
```
3
Lattice="-0.337 3.192 1.279 -3.913 0.156 -1.421 0.365 -3.712 4.695" Properties=species:S:1:pos:R:3 pbc="T T T"
Tl -1.178 -1.364 3.094
Mg -0.054 -0.062 0.141
Sb -2.653 1.062 1.318
```


DFT (SCAN) results for a crystal of MgTlSb2 relaxed with PBEsol.

Symmetry = Fm-3m (225)
Offset from the most stable computed form = 0.174 eV/atom

The structure in extended XYZ format:
```
4
Lattice="5.275 0.000 0.000 2.638 4.569 0.000 2.638 1.523 4.307" Properties=species:S:1:pos:R:3 pbc="T T T"
Sb 7.913 4.569 3.230
Sb 2.638 1.523 1.077
Tl 5.275 3.046 2.154
Mg 0.000 0.000 0.000
```


DFT (SCAN) results for a crystal of MgTlSb2 relaxed with PBEsol.

Symmetry = I-4m2 (119)
Offset from the most stable computed form = 0.154 eV/atom

The structure in extended XYZ format:
```
4
Lattice="4.732 0.000 0.000 0.000 4.732 0.000 -2.366 -2.366 4.628" Properties=species:S:1:pos:R:3 pbc="T T T"
Mg 0.000 2.366 2.314
Sb 0.000 0.000 0.000
Sb 2.366 0.000 2.314
Tl 2.366 2.366 0.000
```


DFT (SCAN) results for a crystal of Mg2TlSb2 relaxed with PBEsol.

Symmetry = I4/mmm (139)

The structure in extended XYZ format:
```
5
Lattice="4.715 0.000 0.000 0.000 4.715 0.000 -2.357 -2.357 6.364" Properties=species:S:1:pos:R:3 pbc="T T T"
Mg 0.000 2.357 3.182
Tl 0.000 0.000 0.000
Sb 2.357 2.357 1.535
Sb 0.000 0.000 4.829
Mg 2.357 0.000 3.182
```


DFT (SCAN) results for a crystal of MgTl2Sb2 relaxed with PBEsol.

Symmetry = P4/mbm (127)

The structure in extended XYZ format:
```
10
Lattice="-2.703 -2.177 -3.991 -4.039 -3.900 4.863 -4.945 5.532 0.330" Properties=species:S:1:pos:R:3 pbc="T T T"
Tl -8.159 0.866 1.549
Tl -6.312 -2.504 2.137
Mg -4.492 0.816 2.597
Mg 0.000 0.000 0.000
Sb -6.634 0.142 4.415
Sb -3.234 -1.729 3.134
Sb -5.749 3.362 2.059
Tl -5.374 1.959 -0.934
Tl -3.527 -1.411 -0.346
Sb -2.350 1.491 0.778
```


DFT (SCAN) results for a crystal of MgTlSb2 relaxed with PBEsol.

Symmetry = P4/mmm (123)
Offset from the most stable computed form = 0.000 eV/atom

The structure in extended XYZ format:
```
4
Lattice="-2.386 -1.339 1.896 1.732 -2.838 0.176 4.371 3.147 7.724" Properties=species:S:1:pos:R:3 pbc="T T T"
Sb 3.138 2.260 5.545
Mg 1.859 -0.515 4.898
Sb 1.233 0.888 2.179
Tl -0.327 -2.088 1.036
```


DFT (SCAN) results for a crystal of MgTlSb3 relaxed with PBEsol.

Symmetry = Pm-3m (221)

The structure in extended XYZ format:
```
5
Lattice="5.604 0.000 0.000 0.000 5.604 0.000 0.000 0.000 5.604" Properties=species:S:1:pos:R:3 pbc="T T T"
Sb 0.000 0.000 2.802
Mg 2.802 2.802 2.802
Tl 0.000 0.000 0.000
Sb 2.802 0.000 0.000
Sb 0.000 2.802 0.000
```


DFT (SCAN) results for a crystal of MgSbW2 relaxed with PBEsol.

Symmetry = C2/m (12)
Offset from the most stable computed form = 0.058 eV/atom

The structure in extended XYZ format:
```
4
Lattice="3.188 0.000 0.000 0.000 4.689 -0.025 -1.594 -0.709 4.713" Properties=species:S:1:pos:R:3 pbc="T T T"
W 1.594 3.271 2.336
W 0.000 0.710 2.351
Sb 0.000 2.345 -0.013
Mg 1.594 0.000 0.000
```


Summary of uncorrected formation energy in eV/atom
-0.02; 0.09; 0.07; -0.21; -0.06; -0.09; 0.91; 0.56
(order as listed above)
Summary of uncorrected energy in eV/atom
-38.22; -37.88; -37.90; -31.57; -44.90; -38.05; -36.92; -44.84
(order as listed above)